Here is crystalline CsBiPbCl6 at its relaxed geometry from the Alexandria database. Energies are from PBE.

Geometry as POSCAR:
```
CsBiPbCl6
1.0
7.450 0.000 0.000
-3.725 6.451 0.000
0.000 0.000 7.573
Cs Bi Pb Cl
1 1 1 6
direct
0.000 0.000 0.000
0.333 0.667 0.500
0.667 0.333 0.500
0.018 0.385 0.288
0.018 0.632 0.712
0.368 0.385 0.712
0.368 0.982 0.288
0.615 0.632 0.288
0.615 0.982 0.712
```

Summary:
The symmetry is No. 149. The calculation puts the energy relative to the elements, uncorrected at -126.9 kJ per mole of atoms.



Here is crystalline MgNbCu at its relaxed geometry from the Alexandria database. Energies are from PBE.

Geometry as POSCAR:
```
MgNbCu
1.0
2.242 -3.892 0.000
2.242 3.892 0.000
0.000 0.000 5.611
Mg Nb Cu
2 2 2
direct
0.000 0.000 0.000
0.000 0.000 0.500
0.333 0.667 0.750
0.667 0.333 0.250
0.334 0.666 0.250
0.666 0.334 0.750
```

Summary:
Its formation energy is 0.21 eV per atom. The symmetry is No. 63. The value obtained for the energy above the most stable polymorph in this dataset is 0.171 eV/atom.



Here is crystalline ZrAlSi2 at its relaxed geometry from the Alexandria database. Energies are from PBE.

Geometry as POSCAR:
```
ZrAlSi2
1.0
-1.902 1.902 4.531
1.902 -1.902 4.531
1.902 1.902 -4.531
Zr Al Si
1 1 2
direct
0.000 0.000 0.000
0.250 0.750 0.500
0.500 0.500 0.000
0.750 0.250 0.500
```

Summary:
The symmetry is No. 119. The calculation puts the energy relative to the elements, uncorrected at -33.5 kJ per mole of atoms.



Here is crystalline Ta2SbH2 at its relaxed geometry from the Alexandria database. Energies are from PBE.

Geometry as POSCAR:
```
Ta2SbH2
1.0
-1.684 1.684 5.514
1.684 -1.684 5.514
1.684 1.684 -5.514
Ta Sb H
2 1 2
direct
0.149 0.149 0.000
0.851 0.851 0.000
0.500 0.500 0.000
0.250 0.750 0.500
0.750 0.250 0.500
```

Summary:
The symmetry is No. 139. The total energy comes out at -6.8611 eV per atom.



The records above yield ρ values of 3.48 6.13 4.42 12.90 g/cm3, respectively.
The records above yield magnetization values of 0.0 0.0 0.0 0.0 Bohr magnetons per cell, respectively.